[1]
The following is a DFT calculation (PBE) of a geometry-optimized Cs2LiF2 structure.

abc: 9.9443 9.9443 9.9443
angles: 121.16 66.93 150.99
With the nearest neighbours (Å) after each atom.
Element x y z (fractional)
Cs (0.1190, 0.2432, 0.3622)  3 F 3.01-3.17, 2 Li 3.33
Cs (0.3810, 0.7432, 0.1242)  3 F 3.01-3.17, 2 Li 3.33
Cs (0.6190, 0.2568, 0.8758)  3 F 3.01-3.17, 2 Li 3.33
Cs (0.8810, 0.7568, 0.6378)  3 F 3.01-3.17, 2 Li 3.33
Li (0.2500, 0.2500, 0.0000)  4 F 1.87
Li (0.7500, 0.7500, 0.0000)  4 F 1.87
F (0.0550, 0.8912, 0.9462)  2 Li 1.87
F (0.4450, 0.3912, 0.8362)  2 Li 1.87
F (0.5550, 0.6088, 0.1638)  2 Li 1.87
F (0.9450, 0.1088, 0.0538)  2 Li 1.87

SG ... No. 72
Uncorrected energy ... -3.673 eV/atom
DOS(E_F) ... 2.524 states/eV/cell
Uncorrected formation energy ... -2201 meV/atom
Size of the total moment ... 0.0 μB per cell

[2]
The following is a DFT calculation (PBE) of a geometry-optimized Sr2BiAu structure.

abc: 9.7633 9.7633 9.7633
angles: 139.85 139.85 58.08
With the nearest neighbours (Å) after each atom.
Element x y z (fractional)
Sr (0.1147, 0.6250, 0.9897)  2 Au 3.15, 2 Bi 3.23
Sr (0.3750, 0.3647, 0.4897)  2 Au 3.15, 2 Bi 3.23
Sr (0.6353, 0.1250, 0.0103)  2 Au 3.15, 2 Bi 3.23
Sr (0.8750, 0.8853, 0.5103)  2 Au 3.15, 2 Bi 3.23
Bi (0.2500, 0.7500, 0.5000)  4 Sr 3.23
Bi (0.5000, 0.5000, 0.0000)  4 Sr 3.23
Au (0.0000, 0.0000, 0.0000)  4 Sr 3.15
Au (0.7500, 0.2500, 0.5000)  4 Sr 3.15

DFT formation energy ... -426 meV per atom
SG ... No. 122
Uncorrected energy ... -3.057 eV/atom
DOS(E_F) ... 0.000 states/eV/cell
Size of the total moment ... 0.0 μB per cell

[3]
The following is a DFT calculation (PBE) of a geometry-optimized ReNiBr2 structure.

abc: 6.5973 6.5973 6.5973
angles: 153.10 138.66 50.02
With the nearest neighbours (Å) after each atom.
Element x y z (fractional)
Re (0.0000, 0.0000, 0.0000)  2 Ni 2.45, 2 Br 2.68
Ni (0.8407, 0.3407, 0.5000)  2 Re 2.45
Br (0.1838, 0.6838, 0.5000)  2 Re 2.68
Br (0.4725, 0.4725, 0.0000)  4 Re 2.81, 2 Ni 2.81, 2 Br 3.07

SG ... No. 44
Uncorrected energy ... -4.505 eV/atom
DOS(E_F) ... 4.212 states/eV/cell
Offset from the most stable computed form ... 0.558 eV/atom
Uncorrected formation energy ... 889 meV/atom
Size of the total moment ... 2.2 μB per cell

[4]
The following is a DFT calculation (PBE) of a geometry-optimized KGeSbTe3 structure.

abc: 9.1922 4.2845 11.8153
angles: 90.00 110.17 90.00
With the nearest neighbours (Å) after each atom.
Element x y z (fractional)
K (0.2401, 0.2500, 0.2906)  1 Ge 3.63, 7 Te 3.64-3.79
K (0.7599, 0.7500, 0.7094)  1 Ge 3.63, 7 Te 3.64-3.79
Ge (0.1158, 0.2500, 0.5509)  3 Te 2.71-2.88, 2 Ge 2.97
Ge (0.8842, 0.7500, 0.4491)  3 Te 2.71-2.88, 2 Ge 2.97
Sb (0.3632, 0.7500, 0.8432)  6 Te 3.02-3.13
Sb (0.6368, 0.2500, 0.1568)  6 Te 3.02-3.13
Te (0.1035, 0.2500, 0.7772)  1 Ge 2.71
Te (0.3319, 0.7500, 0.5711)  2 Ge 2.88, 1 Sb 3.13
Te (0.3841, 0.7500, 0.1036)  3 Sb 3.02-3.06
Te (0.6159, 0.2500, 0.8964)  3 Sb 3.02-3.06
Te (0.6681, 0.2500, 0.4289)  2 Ge 2.88, 1 Sb 3.13
Te (0.8965, 0.7500, 0.2228)  1 Ge 2.71

SG ... No. 11
Uncorrected energy ... -3.590 eV/atom
Uncorrected formation energy ... -380 meV/atom
Size of the total moment ... 0.0 μB per cell

[5]
The following is a DFT calculation (PBE) of a geometry-optimized LiAc2Rh structure.

abc: 3.7909 3.7909 8.3083
angles: 90.00 90.00 90.00
With the nearest neighbours (Å) after each atom.
Element x y z (fractional)
Li (0.0000, 0.0000, 0.0000)  8 Ac 3.60, 4 Li 3.79
Ac (0.5000, 0.5000, 0.2884)  4 Rh 3.21, 1 Ac 3.52
Ac (0.5000, 0.5000, 0.7116)  4 Rh 3.21, 1 Ac 3.52
Rh (0.0000, 0.0000, 0.5000)  8 Ac 3.21

DFT formation energy ... -258 meV per atom
SG ... No. 123
Uncorrected energy ... -4.629 eV/atom
DOS(E_F) ... 3.553 states/eV/cell
Size of the total moment ... 0.0 μB per cell

[6]
The following is a DFT calculation (PBE) of a geometry-optimized Mg3SeI structure.

abc: 5.4196 5.4196 5.4196
angles: 90.00 90.00 90.00
With the nearest neighbours (Å) after each atom.
Element x y z (fractional)
Mg (0.0000, 0.0000, 0.5000)  2 Se 2.71
Mg (0.0000, 0.5000, 0.0000)  2 Se 2.71
Mg (0.5000, 0.0000, 0.0000)  2 Se 2.71
Se (0.0000, 0.0000, 0.0000)  6 Mg 2.71
I (0.5000, 0.5000, 0.5000)  12 Mg 3.83

SG ... No. 221
Uncorrected energy ... -2.116 eV/atom
DOS(E_F) ... 3.828 states/eV/cell
Offset from the most stable computed form ... 0.000 eV/atom
Uncorrected formation energy ... -152 meV/atom
Size of the total moment ... 0.0 μB per cell

[7]
The following is a DFT calculation (PBE) of a geometry-optimized Cu2B2Pt structure.

abc: 5.5563 5.5563 3.3729
angles: 90.00 90.00 90.00
With the nearest neighbours (Å) after each atom.
Element x y z (fractional)
Cu (0.1684, 0.3316, 0.0000)  6 B 2.31-2.43
Cu (0.3316, 0.8316, 0.0000)  6 B 2.31-2.43
Cu (0.6684, 0.1684, 0.0000)  6 B 2.31-2.43
Cu (0.8316, 0.6684, 0.0000)  6 B 2.31-2.43
B (0.1096, 0.6096, 0.5000)  1 B 1.72
B (0.3904, 0.1096, 0.5000)  1 B 1.72
B (0.6096, 0.8904, 0.5000)  1 B 1.72
B (0.8904, 0.3904, 0.5000)  1 B 1.72
Pt (0.0000, 0.0000, 0.5000)  4 B 2.25
Pt (0.5000, 0.5000, 0.5000)  4 B 2.25

DFT formation energy ... 100 meV per atom
SG ... No. 127
Uncorrected energy ... -5.417 eV/atom
DOS(E_F) ... 2.734 states/eV/cell
Size of the total moment ... 0.0 μB per cell

[8]
The following is a DFT calculation (PBE) of a geometry-optimized BeNbPb2 structure.

abc: 6.1415 6.1415 6.1415
angles: 103.15 103.15 123.01
With the nearest neighbours (Å) after each atom.
Element x y z (fractional)
Be (0.0000, 0.0000, 0.0000)  4 Pb 2.56
Be (0.7500, 0.2500, 0.5000)  4 Pb 2.56
Nb (0.2500, 0.7500, 0.5000)  2 Be 2.93, 4 Pb 3.06
Nb (0.5000, 0.5000, 0.0000)  2 Be 2.93, 4 Pb 3.06
Pb (0.0763, 0.6250, 0.9513)  2 Be 2.56
Pb (0.3750, 0.3263, 0.4513)  2 Be 2.56
Pb (0.6737, 0.1250, 0.0487)  2 Be 2.56
Pb (0.8750, 0.9237, 0.5487)  2 Be 2.56

DFT formation energy ... 803 meV per atom
SG ... No. 122
Uncorrected energy ... -4.500 eV/atom
DOS(E_F) ... 8.975 states/eV/cell
Size of the total moment ... 0.0 μB per cell